# IrRu2Pt | the Alexandria database | SCAN | single point on PBEsol structure
# - ΔE_f (eV/atom) = -0.02
# - M_tot (Bohr magnetons per cell) = 0.009
# - DOS(E_F) (states/eV/f.u.) = 4.3
data_IrRu2Pt
_chemical_formula_sum 'Ir1 Ru2 Pt1'
_space_group_name_H-M_alt 'P 4/m m m'
_space_group_IT_number 123
_space_group_name_Hall '-P 4 2'
_cell_length_a 2.687
_cell_length_b 2.687
_cell_length_c 7.686
_cell_angle_alpha 90.00
_cell_angle_beta 90.00
_cell_angle_gamma 90.00
loop_
_atom_site_label
_atom_site_type_symbol
_atom_site_fract_x
_atom_site_fract_y
_atom_site_fract_z
Ir1 Ir 0.000 0.000 0.000
Ru1 Ru 0.500 0.500 0.244
Pt1 Pt 0.000 0.000 0.500